# CoSeO3, optimized geometry, DFT PBE with a Hubbard U
# DOS at the Fermi energy: 0.000 states/eV/f.u.
# Energy: -5.63 eV per atom
# Spin magnetization: 3.02 μB/f.u.
data_CoSeO3
_symmetry_space_group_name_H-M 'C 1 2/c 1'
_symmetry_Int_Tables_number 15
_cell_length_a 16.0105
_cell_length_b 10.0593
_cell_length_c 15.2070
_cell_angle_alpha 90.00
_cell_angle_beta 110.56
_cell_angle_gamma 90.00
loop_
_symmetry_equiv_pos_as_xyz
'x,y,z'
'-x,-y,-z'
'-x,y,-z+1/2'
'x,-y,z+1/2'
'x+1/2,y+1/2,z'
'-x+1/2,-y+1/2,-z'
'-x+1/2,y+1/2,-z+1/2'
'x+1/2,-y+1/2,z+1/2'
loop_
_atom_site_label
_atom_site_type_symbol
_atom_site_fract_x
_atom_site_fract_y
_atom_site_fract_z
Co1 Co 0.0669 0.1191 0.0312
Co2 Co 0.2258 0.1021 0.2403
Co3 Co 0.2347 0.3572 0.4195
Co4 Co 0.2381 0.1250 0.9042
Se1 Se 0.0842 0.1207 0.3659
Se2 Se 0.0981 0.3868 0.1849
Se3 Se 0.1160 0.1710 0.6518
Se4 Se 0.1256 0.3610 0.8985
O1 O 0.0312 0.0198 0.4231
O2 O 0.0381 0.2355 0.5538
O3 O 0.1136 0.2193 0.1647
O4 O 0.1155 0.3980 0.3019
O5 O 0.1448 0.0083 0.3255
O6 O 0.1542 0.2302 0.9797
O7 O 0.1622 0.0224 0.6187
O8 O 0.1698 0.1986 0.4548
O9 O 0.1906 0.3040 0.8353
O10 O 0.1956 0.4769 0.9745
O11 O 0.1988 0.4495 0.1808
O12 O 0.2126 0.2611 0.6588